No. 1
Computed, not measured: a relaxed CuReNi2 crystal at the GGA-PBE level of DFT.

Cell lengths 4.2270, 2.5557, 4.5157 Å; angles 90.13, 90.00, 90.00 degrees
With the nearest neighbours (Å) after each atom.
Atoms (fractional coordinates):
1 Cu 0.5000 0.6220 0.7992  8 Ni 2.55-2.64, 2 Cu 2.56, 2 Re 2.62
2 Ni 0.0000 0.1256 0.9551  4 Ni 2.56-2.60, 4 Cu 2.56-2.57, 4 Re 2.59-2.60
3 Ni 0.5000 0.1256 0.2896  4 Cu 2.55-2.64, 4 Ni 2.56-2.60, 4 Re 2.58
4 Re 0.0000 0.6269 0.4560  2 Re 2.56, 8 Ni 2.58-2.60, 2 Cu 2.62

Values from the calculation:
Total magnetization (μB per atom): 0.00
Energy (hartree per atom): -0.2550
ΔH_f (0 K) (eV per formula unit): 0.4
ΔE to the lowest computed polymorph (meV per atom): 100

=====

No. 2
Computed, not measured: a relaxed BaTm2S4 crystal at the GGA-PBE level of DFT.

Cell lengths 4.0072, 12.2528, 14.4307 Å; angles 90.00, 90.00, 90.00 degrees
With the nearest neighbours (Å) after each atom.
Atoms (fractional coordinates):
1 Ba 0.2500 0.7584 0.3376  8 S 3.19-3.37
2 Ba 0.2500 0.2584 0.1624  8 S 3.19-3.37
3 Ba 0.7500 0.2416 0.6624  8 S 3.19-3.37
4 Ba 0.7500 0.7416 0.8376  8 S 3.19-3.37
5 Tm 0.2500 0.4345 0.3914  6 S 2.67-2.75
6 Tm 0.2500 0.9345 0.1086  6 S 2.67-2.75
7 Tm 0.7500 0.5655 0.6086  6 S 2.67-2.75
8 Tm 0.7500 0.0655 0.8914  6 S 2.67-2.75
9 Tm 0.2500 0.4213 0.8988  6 S 2.69-2.76
10 Tm 0.2500 0.9213 0.6012  6 S 2.69-2.76
11 Tm 0.7500 0.5787 0.1012  6 S 2.69-2.76
12 Tm 0.7500 0.0787 0.3988  6 S 2.69-2.76
13 S 0.2500 0.2066 0.8406  3 Tm 2.75-2.76
14 S 0.2500 0.7066 0.6594  3 Tm 2.75-2.76
15 S 0.7500 0.7934 0.1594  3 Tm 2.75-2.76
16 S 0.7500 0.2934 0.3406  3 Tm 2.75-2.76
17 S 0.2500 0.1221 0.5230  3 Tm 2.71-2.74
18 S 0.2500 0.6221 0.9770  3 Tm 2.71-2.74
19 S 0.7500 0.8779 0.4770  3 Tm 2.71-2.74
20 S 0.7500 0.3779 0.0230  3 Tm 2.71-2.74
21 S 0.2500 0.0233 0.2832  3 Tm 2.69-2.74
22 S 0.2500 0.5233 0.2168  3 Tm 2.69-2.74
23 S 0.7500 0.9767 0.7168  3 Tm 2.69-2.74
24 S 0.7500 0.4767 0.7832  3 Tm 2.69-2.74
25 S 0.2500 0.4191 0.5762  3 Tm 2.67-2.73
26 S 0.2500 0.9191 0.9238  3 Tm 2.67-2.73
27 S 0.7500 0.5809 0.4238  3 Tm 2.67-2.73
28 S 0.7500 0.0809 0.0762  3 Tm 2.67-2.73

Values from the calculation:
Total magnetization (μB per atom): 0.00
Energy (hartree per atom): -0.2225
E_form (uncorrected) (kJ per mole of atoms): -206.7
ΔE to the lowest computed polymorph (meV per atom): 0

=====

No. 3
Computed, not measured: a relaxed K4MgCd crystal at the GGA-PBE level of DFT.

Cell lengths 7.7057, 7.7057, 7.7057 Å; angles 60.00, 60.00, 60.00 degrees
With the nearest neighbours (Å) after each atom.
Atoms (fractional coordinates):
1 K 0.8749 0.3750 0.3750  6 K 3.85
2 K 0.3750 0.3750 0.8749  6 K 3.85
3 K 0.3750 0.8749 0.3750  6 K 3.85
4 K 0.3750 0.3750 0.3750  6 K 3.85
5 Mg 0.7500 0.7500 0.7500  12 K 4.52, 4 Cd 4.72
6 Cd 0.0000 0.0000 0.0000  12 K 4.52, 4 Mg 4.72

Values from the calculation:
Total magnetization (μB per atom): 0.00
Energy (hartree per atom): -0.0312
ΔH_f (0 K) (eV per formula unit): 1.8

=====

No. 4
Computed, not measured: a relaxed HgBiCl5 crystal at the GGA-PBE level of DFT.

Cell lengths 8.9179, 10.7363, 13.5929 Å; angles 90.00, 90.00, 130.44 degrees
With the nearest neighbours (Å) after each atom.
Atoms (fractional coordinates):
1 Hg 0.4448 0.3474 0.7612  4 Cl 2.53-2.57
2 Hg 0.0552 0.1526 0.2612  4 Cl 2.53-2.57
3 Hg 0.5552 0.6526 0.2388  4 Cl 2.53-2.57
4 Hg 0.9448 0.8474 0.7388  4 Cl 2.53-2.57
5 Bi 0.7440 0.2514 0.0091  6 Cl 2.62-2.92
6 Bi 0.7560 0.2486 0.5091  6 Cl 2.62-2.92
7 Bi 0.2560 0.7486 0.9909  6 Cl 2.62-2.92
8 Bi 0.2440 0.7514 0.4909  6 Cl 2.62-2.92
9 Cl 0.0263 0.4425 0.8805  2 Bi 2.63-2.92
10 Cl 0.4737 0.0575 0.3805  2 Bi 2.63-2.92
11 Cl 0.9737 0.5575 0.1195  2 Bi 2.63-2.92
12 Cl 0.5263 0.9425 0.6195  2 Bi 2.63-2.92
13 Cl 0.0999 0.5159 0.6196  2 Bi 2.62-2.91
14 Cl 0.4001 0.9841 0.1196  2 Bi 2.62-2.91
15 Cl 0.9001 0.4841 0.3804  2 Bi 2.62-2.91
16 Cl 0.5999 0.0159 0.8804  2 Bi 2.62-2.91
17 Cl 0.9805 0.1781 0.4358  1 Hg 2.53, 1 Bi 2.75
18 Cl 0.5195 0.3219 0.9358  1 Hg 2.53, 1 Bi 2.75
19 Cl 0.0195 0.8219 0.5642  1 Hg 2.53, 1 Bi 2.75
20 Cl 0.4805 0.6781 0.0642  1 Hg 2.53, 1 Bi 2.75
21 Cl 0.9581 0.1775 0.0901  1 Hg 2.56, 1 Bi 2.73
22 Cl 0.5419 0.3225 0.5901  1 Hg 2.56, 1 Bi 2.73
23 Cl 0.0419 0.8225 0.9099  1 Hg 2.56, 1 Bi 2.73
24 Cl 0.4581 0.6775 0.4099  1 Hg 2.56, 1 Bi 2.73
25 Cl 0.0690 0.1402 0.7439  2 Hg 2.56-2.57
26 Cl 0.4310 0.3598 0.2439  2 Hg 2.56-2.57
27 Cl 0.9310 0.8598 0.2561  2 Hg 2.56-2.57
28 Cl 0.5690 0.6402 0.7561  2 Hg 2.56-2.57

Values from the calculation:
Total magnetization (μB per atom): 0.00
Energy (hartree per atom): -0.0990
E_form (uncorrected) (kJ per mole of atoms): -75.1
ΔE to the lowest computed polymorph (meV per atom): 0

=====

| no. | theoretical density (Mg/m³) |
| --- | --- |
| 1 | 12.497 |
| 2 | 5.657 |
| 3 | 1.504 |
| 4 | 3.935 |